The following is a DFT calculation (PBE) of an optimized crystal structure of K3Li2UO6.

abc: 5.979 5.979 6.253
angles: 96.67 96.67 123.71
Site moments in Bohr magnetons follow the coordinates.
Fractional coordinates of all 12 atoms:
K (0.186, 0.814, 0.500)  0.00
K (0.814, 0.186, 0.500)  0.00
K (0.500, 0.500, 0.500)  0.00
Li (0.297, 0.703, 0.000)  0.00
Li (0.703, 0.297, 0.000)  0.00
U (0.000, 0.000, 0.000)  0.09
O (0.925, 0.627, 0.829)  0.13
O (0.812, 0.812, 0.232)  0.13
O (0.075, 0.373, 0.171)  0.13
O (0.627, 0.925, 0.829)  0.13
O (0.188, 0.188, 0.768)  0.13
O (0.373, 0.075, 0.171)  0.13

Summary:
**Crystal system**: monoclinic
**V**: 15.02 Å³ per atom
**N(E_F)**: 8.67 states/eV/cell
**Formation energy (no corrections)**: -2.091 eV/atom

=====

The following is a DFT calculation (PBE) of an optimized crystal structure of K2LiUO4.

abc: 3.575 5.609 6.433
angles: 105.67 90.00 90.00
Site moments in Bohr magnetons follow the coordinates.
Fractional coordinates of all 8 atoms:
K (0.500, 0.000, 0.500)  0.00
K (0.000, 0.500, 0.500)  0.00
Li (0.000, 0.000, 0.000)  0.00
U (0.500, 0.500, 0.000)  1.06
O (0.500, 0.275, 0.197)  -0.03
O (0.500, 0.725, 0.803)  -0.03
O (0.000, 0.280, 0.823)  -0.03
O (0.000, 0.720, 0.177)  -0.03

Summary:
**Crystal system**: monoclinic
**V**: 15.53 Å³ per atom
**N(E_F)**: 2.09 states/eV/cell
**Formation energy (no corrections)**: -2.381 eV/atom

=====

The following is a DFT calculation (PBE) of an optimized crystal structure of KLi2U2O7.

abc: 4.293 4.293 9.657
angles: 102.84 102.86 90.00
Site moments in Bohr magnetons follow the coordinates.
Fractional coordinates of all 12 atoms:
K (0.000, 0.000, 0.000)  0.00
Li (0.251, 0.750, 0.500)  0.00
Li (0.749, 0.250, 0.500)  0.00
U (0.382, 0.382, 0.764)  0.55
U (0.618, 0.618, 0.236)  0.55
O (0.382, 0.882, 0.765)  -0.02
O (0.727, 0.727, 0.453)  -0.02
O (0.118, 0.618, 0.235)  -0.02
O (0.618, 0.118, 0.235)  -0.02
O (0.273, 0.273, 0.547)  -0.02
O (0.882, 0.382, 0.765)  -0.02
O (0.500, 0.500, 0.000)  -0.02

Summary:
**Crystal system**: tetragonal
**V**: 14.08 Å³ per atom
**N(E_F)**: 6.61 states/eV/cell
**Formation energy (no corrections)**: -2.793 eV/atom